Material: TbPa2Rh5
Method: DFT, PBE
State: relaxed

The structure belongs to space group Pbam (No. 55); the cell edges are 5.916, 11.686 and 4.335 Å and the angles 90.00°, 90.00° and 90.00°. The inequivalent atoms are Tb at (0.000, 0.000, 0.000), Pa at (0.156, 0.353, 0.500), Rh at (0.000, 0.500, 0.000), Rh at (0.088, 0.748, 0.000) and Rh at (0.201, 0.117, 0.500).

Its formation energy is -797.3 meV per atom. The density of states at the Fermi level is 4.84 states/eV/f.u. The total energy comes out at -8.34 eV per atom.

Material: TbPa2Rh4
Method: DFT, PBE
State: relaxed

The structure belongs to space group Pnma (No. 62); the cell edges are 10.743, 4.772 and 11.002 Å and the angles 90.00°, 90.00° and 90.00°. The inequivalent atoms are Tb at (0.168, 0.250, 0.092), Pa at (0.071, 0.750, 0.348), Pa at (0.145, 0.750, 0.853), Rh at (0.009, 0.750, 0.103), Rh at (0.072, 0.750, 0.622), Rh at (0.168, 0.250, 0.487) and Rh at (0.216, 0.250, 0.729).

Its formation energy is -815.0 meV per atom. The density of states at the Fermi level is 4.87 states/eV/f.u. The total energy comes out at -8.39 eV per atom.

Material: Tb3Pa2Rh4
Method: DFT, PBE
State: relaxed

The structure belongs to space group C2/m (No. 12); the cell edges are 11.527, 3.903 and 9.420 Å and the angles 90.00°, 97.99° and 90.00°. The inequivalent atoms are Tb at (0.000, 0.000, 0.000), Tb at (0.122, 0.500, 0.387), Pa at (0.183, 0.500, 0.781), Rh at (0.084, 0.000, 0.621) and Rh at (0.190, 0.500, 0.081).

Its formation energy is -708.5 meV per atom. The density of states at the Fermi level is 9.47 states/eV/f.u. The total energy comes out at -7.63 eV per atom.

Material: TbPa2Rh3
Method: DFT, PBE
State: relaxed

The structure belongs to space group P-1 (No. 2); the cell edges are 5.639, 5.890 and 8.495 Å and the angles 72.64°, 74.95° and 76.92°. The inequivalent atoms are Tb at (0.047, 0.211, 0.298), Pa at (0.288, 0.766, 0.040), Pa at (0.376, 0.230, 0.626), Rh at (0.151, 0.678, 0.374), Rh at (0.209, 0.298, 0.937) and Rh at (0.463, 0.711, 0.720).

Its formation energy is -819.7 meV per atom. The density of states at the Fermi level is 6.02 states/eV/f.u. The total energy comes out at -8.43 eV per atom.

Number 1: density 12.58 g cm⁻³. Number 2: density 12.16 g cm⁻³. Number 3: density 10.69 g cm⁻³. Number 4: density 12.03 g cm⁻³.